DFT (PBE with a Hubbard U) results for an optimized crystal structure of NaFeF3.

Structure (POSCAR):
```
NaFeF3
1.0
7.1611 0.0000 0.0000
0.0000 5.4688 0.0000
-4.5373 0.0000 6.6690
Na Fe F
4 4 12
Direct
0.1991 0.2450 0.0998
0.1991 0.2550 0.5998
0.8009 0.7450 0.4002
0.8009 0.7550 0.9002
0.2581 0.7438 0.3788
0.2581 0.7562 0.8788
0.7419 0.2438 0.1212
0.7419 0.2562 0.6212
0.0028 0.5020 0.6981
0.0028 0.9980 0.1981
0.2324 0.6578 0.1150
0.2324 0.8422 0.6150
0.4107 0.2445 0.9560
0.4107 0.2555 0.4560
0.5893 0.7445 0.5440
0.5893 0.7555 0.0440
0.7676 0.1578 0.3850
0.7676 0.3422 0.8850
0.9972 0.0020 0.8019
0.9972 0.4980 0.3019
```

Summary:
D(E_F) = 0.00 states/eV/atom
Uncorrected energy = -5.043 eV/atom